Entry 1:
The following is a PBE calculation of a relaxed Tm7Cd4In crystal, from Alexandria.

Cell lengths 7.7925, 7.7925, 9.2752 Å; angles 118.90, 118.90, 42.92 degrees
Fractional coordinates of all 12 atoms:
1 Tm 0.0000 0.0000 0.0000
2 Tm 0.2462 0.2462 0.7112
3 Tm 0.3091 0.3091 0.1247
4 Tm 0.4244 0.4244 0.5823
5 Tm 0.5756 0.5756 0.4177
6 Tm 0.6909 0.6909 0.8753
7 Tm 0.7538 0.7538 0.2888
8 Cd 0.0366 0.0366 0.6908
9 Cd 0.1845 0.1845 0.3461
10 Cd 0.8155 0.8155 0.6539
11 Cd 0.9634 0.9634 0.3092
12 In 0.5000 0.5000 0.0000

Results
Total magnetic moment = 0.00 μB per cell
ρ = 8850 kg/m3
Energy of formation = -0.080 eV/atom
Space group = C2/m (12)
Fermi-level density of states = 10.9 states/eV/f.u.
Calculated total energy = -38.66 eV/cell
V = 27.316 Å³ per atom


Entry 2:
The following is a PBE calculation of a relaxed Ac2In6HgPd crystal, from Alexandria.

Cell lengths 13.6432, 13.6432, 13.6432 Å; angles 30.27, 30.27, 30.27 degrees
Fractional coordinates of all 20 atoms:
1 Ac 0.1062 0.1062 0.1062
2 Ac 0.2804 0.2804 0.2804
3 Ac 0.7196 0.7196 0.7196
4 Ac 0.8938 0.8938 0.8938
5 In 0.0761 0.6664 0.6664
6 In 0.2218 0.2218 0.6543
7 In 0.2218 0.6543 0.2218
8 In 0.3336 0.3336 0.9239
9 In 0.3336 0.9239 0.3336
10 In 0.3457 0.7782 0.7782
11 In 0.6543 0.2218 0.2218
12 In 0.6664 0.0761 0.6664
13 In 0.6664 0.6664 0.0761
14 In 0.7782 0.3457 0.7782
15 In 0.7782 0.7782 0.3457
16 In 0.9239 0.3336 0.3336
17 Hg 0.4266 0.4266 0.4266
18 Hg 0.5734 0.5734 0.5734
19 Pd 0.0000 0.0000 0.0000
20 Pd 0.5000 0.5000 0.5000

Results
Total magnetic moment = 0.00 μB per cell
ρ = 8420 kg/m3
Energy of formation = -0.292 eV/atom
Space group = R-3m (166)
Fermi-level density of states = 4.0 states/eV/f.u.
Calculated total energy = -66.12 eV/cell
V = 28.593 Å³ per atom


Entry 3:
The following is a PBE calculation of a relaxed K8AuI3Br4 crystal, from Alexandria.

Cell lengths 9.7676, 9.7676, 9.7676 Å; angles 59.68, 59.68, 59.68 degrees
Fractional coordinates of all 16 atoms:
1 K 0.2410 0.7478 0.7478
2 K 0.2443 0.2443 0.2443
3 K 0.2522 0.2522 0.7590
4 K 0.2522 0.7590 0.2522
5 K 0.7478 0.2410 0.7478
6 K 0.7478 0.7478 0.2410
7 K 0.7557 0.7557 0.7557
8 K 0.7590 0.2522 0.2522
9 Au 0.0000 0.0000 0.0000
10 I 0.0000 0.5000 0.5000
11 I 0.5000 0.0000 0.5000
12 I 0.5000 0.5000 0.0000
13 Br 0.0000 0.0000 0.5000
14 Br 0.0000 0.5000 0.0000
15 Br 0.5000 0.0000 0.0000
16 Br 0.5000 0.5000 0.5000

Results
Total magnetic moment = 0.00 μB per cell
Uncorrected formation energy = -1.456 eV per atom
ρ = 3072 kg/m3
Space group = R-3m (166)
Fermi-level density of states = 0.0 states/eV/f.u.
Calculated total energy = -46.70 eV/cell
V = 40.883 Å³ per atom


Question: Among the records above, which one has the highest ρ?
Answer: Tm7Cd4In